No. 1
GeSeN2: relaxed, PBE.

Cell: 6.367 6.367 6.367 Å, 27.62 27.62 27.62°
Atoms (fractional coordinates):
Ge: 0.500 0.500 0.500
Se: 0.000 0.000 0.000
N: 0.890 0.890 0.890
N: 0.110 0.110 0.110

Output
- N(E_F) (states/eV per cell) = 1.6
- excess energy over the best structure of this formula in the dataset (meV/atom) = 647
- formation energy (no corrections) (eV/atom) = 0.559
- SG = R-3m (166)
- crystal system = trigonal
- theoretical density (g cm⁻³) = 6.09

No. 2
YPbBr2: relaxed, PBE.

Cell: 7.900 7.900 6.840 Å, 50.02 50.02 27.36°
Atoms (fractional coordinates):
Pb: 0.560 0.560 0.496
Y: 0.290 0.290 0.062
Br: 0.928 0.928 0.074
Br: 0.722 0.722 0.868

Output
- N(E_F) (states/eV per cell) = 2.3
- excess energy over the best structure of this formula in the dataset (meV/atom) = 29
- formation energy (no corrections) (eV/atom) = -0.997
- SG = Cm (8)
- crystal system = monoclinic
- theoretical density (g cm⁻³) = 5.14

No. 3
LaAsS2: relaxed, PBE.

Cell: 8.401 8.401 8.401 Å, 28.98 28.98 28.98°
Atoms (fractional coordinates):
As: 0.000 0.000 0.000
S: 0.896 0.896 0.896
S: 0.104 0.104 0.104
La: 0.500 0.500 0.500

Output
- N(E_F) (states/eV per cell) = 1.9
- formation energy (no corrections) (eV/atom) = -0.916
- SG = R-3m (166)
- crystal system = trigonal
- theoretical density (g cm⁻³) = 3.75